# BeNbNi3 | Alexandria | PBE-GGA | relaxed
# DFT total energy, eV for the cell shown: -23.31
data_BeNbNi3
_cell_length_a 4.497
_cell_length_b 4.497
_cell_length_c 4.497
_cell_angle_alpha 90.00
_cell_angle_beta 90.00
_cell_angle_gamma 90.00
_symmetry_space_group_name_H-M 'P 1'
_symmetry_Int_Tables_number 1
loop_
_symmetry_equiv_pos_as_xyz
'x,y,z'
loop_
_atom_site_label
_atom_site_type_symbol
_atom_site_fract_x
_atom_site_fract_y
_atom_site_fract_z
Be1 Be 0.000 0.000 0.000
Nb1 Nb 0.500 0.500 0.500
Ni1 Ni 0.000 0.500 0.500
Ni2 Ni 0.500 0.000 0.500
Ni3 Ni 0.500 0.500 0.000

# BeNbNi | Alexandria | PBE-GGA | relaxed
# DFT total energy, eV for the cell shown: -40.08
data_BeNbNi
_cell_length_a 6.012
_cell_length_b 6.012
_cell_length_c 3.722
_cell_angle_alpha 90.00
_cell_angle_beta 90.00
_cell_angle_gamma 145.79
_symmetry_space_group_name_H-M 'P 1'
_symmetry_Int_Tables_number 1
loop_
_symmetry_equiv_pos_as_xyz
'x,y,z'
loop_
_atom_site_label
_atom_site_type_symbol
_atom_site_fract_x
_atom_site_fract_y
_atom_site_fract_z
Be1 Be 0.115 0.885 0.750
Be2 Be 0.885 0.115 0.250
Nb1 Nb 0.415 0.585 0.750
Nb2 Nb 0.585 0.415 0.250
Ni1 Ni 0.250 0.750 0.250
Ni2 Ni 0.750 0.250 0.750

# BeNbNi | Alexandria | PBE-GGA | relaxed
# DFT total energy, eV for the cell shown: -20.24
data_BeNbNi
_cell_length_a 4.023
_cell_length_b 4.023
_cell_length_c 2.666
_cell_angle_alpha 90.00
_cell_angle_beta 90.00
_cell_angle_gamma 120.00
_symmetry_space_group_name_H-M 'P 1'
_symmetry_Int_Tables_number 1
loop_
_symmetry_equiv_pos_as_xyz
'x,y,z'
loop_
_atom_site_label
_atom_site_type_symbol
_atom_site_fract_x
_atom_site_fract_y
_atom_site_fract_z
Be1 Be 0.000 0.000 0.000
Nb1 Nb 0.667 0.333 0.500
Ni1 Ni 0.333 0.667 0.000

What did we get for E_form? Answer: 7.8 -0.5 -0.7 eV/f.u., in the order shown.